Crystalline Sm3DyTm4 at its relaxed geometry, computed with PBE. Values from VASP.

Structure (Quantum ESPRESSO input):
```
&SYSTEM
  ibrav = 0, nat = 16, ntyp = 3
/
ATOMIC_SPECIES
Sm 150.36 Sm.upf
Dy 162.50 Dy.upf
Tm 168.93 Tm.upf
CELL_PARAMETERS angstrom
11.2780 0.0000 0.0000
0.0000 7.2538 0.0000
0.0000 0.0000 6.2580
ATOMIC_POSITIONS angstrom
Sm 0.0000 0.9240 0.0000
Sm 2.8184 0.9237 2.0962
Sm 2.8206 6.3301 5.2252
Sm 5.6390 6.3298 3.1290
Sm 8.4597 0.9237 2.0962
Sm 8.4574 6.3301 5.2252
Dy 0.0000 6.3172 3.1273
Dy 5.6390 0.9367 6.2563
Tm 0.0000 2.7430 3.1341
Tm 0.0000 4.5083 0.0075
Tm 2.8087 4.5095 2.0893
Tm 2.8304 2.7444 5.2183
Tm 5.6390 2.7455 3.1365
Tm 5.6390 4.5108 0.0051
Tm 8.4477 2.7444 5.2183
Tm 8.4694 4.5095 2.0893
```

Values from the calculation:
relative energy among the computed polymorphs	0	meV/atom
formation energy from the elements	0.0155	eV/atom
total moment	0.0	μB/cell